# 1
The following is a DFT calculation (PBE-GGA) of a geometry-optimized MgSnHgSb structure.

a = 5.2691 Å, b = 5.2691 Å, c = 5.2691 Å
α = 60.00°, β = 60.00°, γ = 60.00°
With the nearest neighbours (Å) after each atom.
Fractional coordinates of all 4 atoms:
Sb 0.0000 0.0000 0.0000  4 Sn 3.23, 4 Mg 3.23
Mg 0.2500 0.2500 0.2500  4 Hg 3.23, 4 Sb 3.23
Hg 0.5000 0.5000 0.5000  4 Sn 3.23, 4 Mg 3.23
Sn 0.7500 0.7500 0.7500  4 Hg 3.23, 4 Sb 3.23

Computed properties:
As for the total energy: -2.522 eV/atom. The uncorrected formation energy comes out at -16 meV per atom.

***

# 2
The following is a DFT calculation (PBE-GGA) of a geometry-optimized MgTaHgSb2 structure.

a = 5.3531 Å, b = 5.4826 Å, c = 5.3531 Å
α = 90.00°, β = 90.00°, γ = 90.00°
With the nearest neighbours (Å) after each atom.
Fractional coordinates of all 5 atoms:
Sb 0.0000 0.0000 0.5000  2 Ta 2.68
Sb 0.5000 0.0000 0.0000  2 Ta 2.68
Mg 0.5000 0.5000 0.5000  4 Hg 3.79, 8 Sb 3.83
Hg 0.0000 0.5000 0.0000  2 Ta 2.74
Ta 0.0000 0.0000 0.0000  4 Sb 2.68, 2 Hg 2.74

Computed properties:
As for the total energy: -3.983 eV/atom. The uncorrected formation energy comes out at 416 meV per atom.

***

# 3
The following is a DFT calculation (PBE-GGA) of a geometry-optimized TbMgHgSb structure.

a = 5.2310 Å, b = 5.2310 Å, c = 5.2310 Å
α = 60.00°, β = 60.00°, γ = 60.00°
With the nearest neighbours (Å) after each atom.
Fractional coordinates of all 4 atoms:
Sb 0.5000 0.5000 0.5000  4 Tb 3.20, 4 Mg 3.20
Mg 0.7500 0.7500 0.7500  4 Hg 3.20, 4 Sb 3.20
Tb 0.2500 0.2500 0.2500  4 Hg 3.20, 4 Sb 3.20
Hg 0.0000 0.0000 0.0000  4 Tb 3.20, 4 Mg 3.20

Computed properties:
As for the total energy: -3.067 eV/atom. The uncorrected formation energy comes out at -405 meV per atom.

***

# 4
The following is a DFT calculation (PBE-GGA) of a geometry-optimized MgHgSb2Te structure.

a = 5.4787 Å, b = 5.4787 Å, c = 5.4474 Å
α = 90.00°, β = 90.00°, γ = 90.00°
With the nearest neighbours (Å) after each atom.
Fractional coordinates of all 5 atoms:
Sb 0.0000 0.5000 0.0000  2 Mg 2.74
Sb 0.5000 0.0000 0.0000  2 Mg 2.74
Mg 0.0000 0.0000 0.0000  2 Te 2.72, 4 Sb 2.74
Te 0.0000 0.0000 0.5000  2 Mg 2.72
Hg 0.5000 0.5000 0.5000  8 Sb 3.86, 4 Te 3.87

Computed properties:
As for the total energy: -2.225 eV/atom. The uncorrected formation energy comes out at 432 meV per atom.

***

# 5
The following is a DFT calculation (PBE-GGA) of a geometry-optimized MgHgSb2Te structure.

a = 5.8375 Å, b = 5.4147 Å, c = 5.8375 Å
α = 90.00°, β = 90.00°, γ = 90.00°
With the nearest neighbours (Å) after each atom.
Fractional coordinates of all 5 atoms:
Sb 0.0000 0.0000 0.5000  2 Te 2.92
Sb 0.5000 0.0000 0.0000  2 Te 2.92
Mg 0.0000 0.5000 0.0000  2 Te 2.71
Te 0.0000 0.0000 0.0000  2 Mg 2.71, 4 Sb 2.92
Hg 0.5000 0.5000 0.5000  8 Sb 3.98, 4 Mg 4.13

Computed properties:
As for the total energy: -2.113 eV/atom. The uncorrected formation energy comes out at 544 meV per atom.

***

# 6
The following is a DFT calculation (PBE-GGA) of a geometry-optimized MgHgSbTe2 structure.

a = 5.4891 Å, b = 5.4891 Å, c = 5.5405 Å
α = 90.00°, β = 90.00°, γ = 90.00°
With the nearest neighbours (Å) after each atom.
Fractional coordinates of all 5 atoms:
Sb 0.0000 0.0000 0.5000  2 Mg 2.77
Mg 0.0000 0.0000 0.0000  4 Te 2.74, 2 Sb 2.77
Te 0.0000 0.5000 0.0000  2 Mg 2.74
Te 0.5000 0.0000 0.0000  2 Mg 2.74
Hg 0.5000 0.5000 0.5000  4 Sb 3.88, 8 Te 3.90

Computed properties:
As for the total energy: -2.127 eV/atom. The uncorrected formation energy comes out at 334 meV per atom.

***

# 7
The following is a DFT calculation (PBE-GGA) of a geometry-optimized MgSc2Hg structure.

a = 6.9480 Å, b = 6.9480 Å, c = 6.9480 Å
α = 50.58°, β = 152.59°, γ = 138.36°
With the nearest neighbours (Å) after each atom.
Fractional coordinates of all 4 atoms:
Mg 0.0000 0.0000 0.0000  4 Hg 2.97, 2 Mg 3.29
Sc 0.0000 0.2753 0.2753  1 Hg 2.82, 4 Sc 3.04
Sc 0.0000 0.7247 0.7247  1 Hg 2.82, 4 Sc 3.04
Hg 0.0000 0.5000 0.5000  2 Sc 2.82, 4 Mg 2.97

Computed properties:
As for the total energy: -3.423 eV/atom. The calculation puts the energy of formation from the pure elements at 0.2165 eV/atom.

***

# 8
The following is a DFT calculation (PBE-GGA) of a geometry-optimized MgSc2Hg structure.

a = 5.5992 Å, b = 5.5992 Å, c = 5.5992 Å
α = 134.17°, β = 134.17°, γ = 66.83°
With the nearest neighbours (Å) after each atom.
Fractional coordinates of all 4 atoms:
Hg 0.5000 0.5000 0.0000  8 Sc 3.08-3.20, 4 Mg 3.20
Mg 0.7500 0.2500 0.5000  8 Sc 3.08-3.20, 4 Hg 3.20
Sc 0.0000 0.0000 0.0000  4 Hg 3.08, 4 Mg 3.20, 4 Sc 3.20
Sc 0.2500 0.7500 0.5000  4 Mg 3.08, 4 Sc 3.20, 4 Hg 3.20

Computed properties:
As for the total energy: -3.771 eV/atom. The calculation puts the energy of formation from the pure elements at -0.1310 eV/atom.

***

# 9
The following is a DFT calculation (PBE-GGA) of a geometry-optimized Mg3ScHg structure.

a = 5.8123 Å, b = 5.8123 Å, c = 5.8123 Å
α = 90.00°, β = 90.00°, γ = 90.00°
With the nearest neighbours (Å) after each atom.
Fractional coordinates of all 5 atoms:
Sc 0.0000 0.0000 0.0000  6 Mg 2.91
Mg 0.0000 0.5000 0.0000  2 Sc 2.91
Mg 0.0000 0.0000 0.5000  2 Sc 2.91
Mg 0.5000 0.0000 0.0000  2 Sc 2.91
Hg 0.5000 0.5000 0.5000  12 Mg 4.11

Computed properties:
As for the total energy: -1.426 eV/atom. The calculation puts the energy of formation from the pure elements at 0.8576 eV/atom.

***

# 10
The following is a DFT calculation (PBE-GGA) of a geometry-optimized MgSc4Hg2 structure.

a = 4.9583 Å, b = 4.9583 Å, c = 7.9059 Å
α = 71.72°, β = 71.72°, γ = 60.00°
With the nearest neighbours (Å) after each atom.
Fractional coordinates of all 7 atoms:
Mg 0.0000 0.0000 0.0000  6 Hg 3.08, 2 Sc 3.37
Sc 0.8474 0.8474 0.4579  1 Hg 2.86, 6 Sc 2.93-3.15
Sc 0.1526 0.1526 0.5421  1 Hg 2.86, 6 Sc 2.93-3.15
Sc 0.5738 0.5738 0.2785  4 Hg 3.00-3.19, 4 Sc 3.15-3.26
Sc 0.4262 0.4262 0.7215  4 Hg 3.00-3.19, 4 Sc 3.15-3.26
Hg 0.7182 0.7182 0.8454  5 Sc 2.86-3.19, 3 Mg 3.08
Hg 0.2818 0.2818 0.1546  5 Sc 2.86-3.19, 3 Mg 3.08

Computed properties:
As for the total energy: -4.142 eV/atom. The calculation puts the energy of formation from the pure elements at -0.2101 eV/atom.

***

# 11
The following is a DFT calculation (PBE-GGA) of a geometry-optimized MgSc2Hg structure.

a = 3.6430 Å, b = 3.5565 Å, c = 7.7272 Å
α = 62.53°, β = 90.00°, γ = 90.00°
With the nearest neighbours (Å) after each atom.
Fractional coordinates of all 4 atoms:
Sc 0.0000 0.9972 0.0023  4 Hg 3.06, 4 Mg 3.08, 1 Sc 3.40
Sc 0.0000 0.5028 0.4977  4 Hg 3.06, 4 Mg 3.08, 1 Sc 3.40
Mg 0.5000 0.7500 0.7500  8 Sc 3.08, 2 Hg 3.43
Hg 0.5000 0.2500 0.2500  8 Sc 3.06

Computed properties:
As for the total energy: -3.889 eV/atom. The calculation puts the energy of formation from the pure elements at -0.2496 eV/atom.

***

# 12
The following is a DFT calculation (PBE-GGA) of a geometry-optimized Mg5Sc4Hg structure.

a = 5.0167 Å, b = 6.2260 Å, c = 7.9005 Å
α = 104.69°, β = 108.51°, γ = 90.00°
With the nearest neighbours (Å) after each atom.
Fractional coordinates of all 10 atoms:
Mg 0.2989 0.2028 0.5978  1 Mg 3.09, 7 Sc 3.09-3.12
Mg 0.1030 0.4168 0.2060  6 Sc 3.04-3.19, 2 Mg 3.06
Mg 0.8970 0.5832 0.7940  6 Sc 3.04-3.19, 2 Mg 3.06
Mg 0.5000 0.5000 0.0000  6 Mg 3.06-3.09, 2 Hg 3.11
Mg 0.7011 0.7972 0.4022  1 Mg 3.09, 7 Sc 3.09-3.12
Sc 0.6945 0.2947 0.3891  1 Hg 3.00, 7 Mg 3.05-3.12
Sc 0.0972 0.9010 0.1945  6 Mg 3.04-3.19, 2 Hg 3.05
Sc 0.3055 0.7053 0.6109  1 Hg 3.00, 7 Mg 3.05-3.12
Sc 0.9028 0.0990 0.8055  6 Mg 3.04-3.19, 2 Hg 3.05
Hg 0.5000 0.0000 0.0000  6 Sc 3.00-3.05, 2 Mg 3.11

Computed properties:
As for the total energy: -3.481 eV/atom. The calculation puts the energy of formation from the pure elements at -0.1211 eV/atom.

***

Among the records above, which one has the lowest total energy?
MgSc4Hg2

***

The lowest total energy belongs to which entry?
MgSc4Hg2

***

Among the records above, which one has the lowest total energy?
MgSc4Hg2